A geometry-optimized LaTm2Al7Ag2 structure. Source: OQMD, functional PBE.

Unit cell a=9.3641 b=9.3641 c=9.3641 alpha=34.61 beta=34.61 gamma=34.61
Element x y z (fractional)
La: 0.0000 0.0000 0.0000
Tm: 0.1422 0.1422 0.1422
Tm: 0.8578 0.8578 0.8578
Al: 0.0767 0.5892 0.5892
Al: 0.4108 0.4108 0.9233
Al: 0.4108 0.9233 0.4108
Al: 0.5000 0.5000 0.5000
Al: 0.5892 0.0767 0.5892
Al: 0.5892 0.5892 0.0767
Al: 0.9233 0.4108 0.4108
Ag: 0.3357 0.3357 0.3357
Ag: 0.6643 0.6643 0.6643

E_tot (eV per atom): -4.281
Size of the total moment (Bohr magnetons per cell): 0.0
Theoretical density (g/cm³): 6.19

---

A geometry-optimized La2TmAl7Ag2 structure. Source: OQMD, functional PBE.

Unit cell a=9.5261 b=9.5261 c=9.5261 alpha=34.44 beta=34.44 gamma=34.44
Element x y z (fractional)
La: 0.1423 0.1423 0.1423
La: 0.8577 0.8577 0.8577
Tm: 0.0000 0.0000 0.0000
Al: 0.0736 0.5845 0.5845
Al: 0.4155 0.4155 0.9264
Al: 0.4155 0.9264 0.4155
Al: 0.5000 0.5000 0.5000
Al: 0.5845 0.0736 0.5845
Al: 0.5845 0.5845 0.0736
Al: 0.9264 0.4155 0.4155
Ag: 0.3360 0.3360 0.3360
Ag: 0.6640 0.6640 0.6640

E_tot (eV per atom): -4.259
Size of the total moment (Bohr magnetons per cell): 0.0
Theoretical density (g/cm³): 5.73

---

A geometry-optimized LaY2Al7Ag2 structure. Source: OQMD, functional PBE.

Unit cell a=9.4192 b=9.4192 c=9.4192 alpha=34.63 beta=34.63 gamma=34.63
Element x y z (fractional)
La: 0.0000 0.0000 0.0000
Y: 0.1419 0.1419 0.1419
Y: 0.8581 0.8581 0.8581
Al: 0.0762 0.5884 0.5884
Al: 0.4116 0.4116 0.9238
Al: 0.4116 0.9238 0.4116
Al: 0.5000 0.5000 0.5000
Al: 0.5884 0.0762 0.5884
Al: 0.5884 0.5884 0.0762
Al: 0.9238 0.4116 0.4116
Ag: 0.3358 0.3358 0.3358
Ag: 0.6642 0.6642 0.6642

E_tot (eV per atom): -4.634
Size of the total moment (Bohr magnetons per cell): 0.0
Theoretical density (g/cm³): 4.97

---

A geometry-optimized Li4AlAg structure. Source: OQMD, functional PBE.

Unit cell a=5.2154 b=5.2154 c=5.2985 alpha=120.21 beta=120.21 gamma=51.23
Element x y z (fractional)
Li: 0.1672 0.1672 0.4134
Li: 0.1689 0.1689 0.9124
Li: 0.8311 0.8311 0.0876
Li: 0.8328 0.8328 0.5866
Al: 0.5000 0.5000 0.5000
Ag: 0.5000 0.5000 0.0000

E_tot (eV per atom): -2.549
Theoretical density (g/cm³): 2.90

---

A geometry-optimized Li4MgAlAg2 structure. Source: OQMD, functional PBE.

Unit cell a=4.5081 b=4.5081 c=6.3359 alpha=90.00 beta=90.00 gamma=90.00
Element x y z (fractional)
Li: 0.0000 0.0000 0.0000
Li: 0.0000 0.5000 0.7431
Li: 0.5000 0.0000 0.2569
Li: 0.5000 0.5000 0.5000
Mg: 0.5000 0.5000 0.0000
Al: 0.0000 0.0000 0.5000
Ag: 0.0000 0.5000 0.2671
Ag: 0.5000 0.0000 0.7329

E_tot (eV per atom): -2.535
Theoretical density (g/cm³): 3.80

---

A geometry-optimized Li2MgAl2ZnAg2 structure. Source: OQMD, functional PBE.

Unit cell a=4.4869 b=4.4869 c=6.3871 alpha=90.00 beta=90.00 gamma=90.00
Element x y z (fractional)
Li: 0.0000 0.5000 0.2363
Li: 0.5000 0.0000 0.7637
Mg: 0.0000 0.0000 0.5000
Al: 0.0000 0.0000 0.0000
Al: 0.5000 0.5000 0.5000
Zn: 0.5000 0.5000 0.0000
Ag: 0.0000 0.5000 0.7559
Ag: 0.5000 0.0000 0.2441

E_tot (eV per atom): -2.664
Theoretical density (g/cm³): 4.82

---

A geometry-optimized Li4AlAg2Pb structure. Source: OQMD, functional PBE.

Unit cell a=4.5550 b=4.5550 c=6.5478 alpha=90.00 beta=90.00 gamma=90.00
Element x y z (fractional)
Li: 0.0000 0.0000 0.0000
Li: 0.0000 0.5000 0.2358
Li: 0.5000 0.0000 0.7642
Li: 0.5000 0.5000 0.5000
Al: 0.5000 0.5000 0.0000
Ag: 0.0000 0.5000 0.7816
Ag: 0.5000 0.0000 0.2184
Pb: 0.0000 0.0000 0.5000

E_tot (eV per atom): -2.851
Theoretical density (g/cm³): 5.84

---

A geometry-optimized Li4Al2AgPd structure. Source: OQMD, functional PBE.

Unit cell a=4.3605 b=4.3605 c=6.1626 alpha=90.00 beta=90.00 gamma=90.00
Element x y z (fractional)
Li: 0.0000 0.0000 0.0000
Li: 0.0000 0.5000 0.7459
Li: 0.5000 0.0000 0.2541
Li: 0.5000 0.5000 0.5000
Al: 0.0000 0.5000 0.2692
Al: 0.5000 0.0000 0.7308
Ag: 0.5000 0.5000 0.0000
Pd: 0.0000 0.0000 0.5000

E_tot (eV per atom): -3.279
Theoretical density (g/cm³): 4.19

---

A geometry-optimized LiAlAgPd structure. Source: OQMD, functional PBE.

Unit cell a=4.3682 b=4.3682 c=4.3682 alpha=120.12 beta=120.05 gamma=89.86
Element x y z (fractional)
Li: 0.0000 0.0000 0.0000
Al: 0.5000 0.5000 0.0000
Ag: 0.7505 0.2505 0.5000
Pd: 0.2494 0.7494 0.5000

E_tot (eV per atom): -3.932
Theoretical density (g/cm³): 7.00

---

A geometry-optimized Li2Sc2Al2AgPd structure. Source: OQMD, functional PBE.

Unit cell a=4.5405 b=4.5405 c=6.4301 alpha=90.00 beta=90.00 gamma=90.00
Element x y z (fractional)
Li: 0.0000 0.0000 0.0000
Li: 0.5000 0.5000 0.5000
Sc: 0.0000 0.5000 0.2402
Sc: 0.5000 0.0000 0.7598
Al: 0.0000 0.5000 0.7573
Al: 0.5000 0.0000 0.2427
Ag: 0.0000 0.0000 0.5000
Pd: 0.5000 0.5000 0.0000

E_tot (eV per atom): -4.497
Size of the total moment (Bohr magnetons per cell): 0.0
Theoretical density (g/cm³): 4.66

---

A geometry-optimized Li4Al2AgPt structure. Source: OQMD, functional PBE.

Unit cell a=4.3460 b=4.3460 c=6.1444 alpha=90.00 beta=90.00 gamma=90.00
Element x y z (fractional)
Li: 0.0000 0.0000 0.0000
Li: 0.0000 0.5000 0.7459
Li: 0.5000 0.0000 0.2541
Li: 0.5000 0.5000 0.5000
Al: 0.0000 0.5000 0.2741
Al: 0.5000 0.0000 0.7259
Ag: 0.5000 0.5000 0.0000
Pt: 0.0000 0.0000 0.5000

E_tot (eV per atom): -3.476
Size of the total moment (Bohr magnetons per cell): 0.0
Theoretical density (g/cm³): 5.50

---

A geometry-optimized LiAl4AgS2 structure. Source: OQMD, functional PBE.

Unit cell a=5.8095 b=5.8095 c=5.8095 alpha=103.11 beta=103.11 gamma=123.11
Element x y z (fractional)
Li: 0.0000 0.0000 0.0000
Al: 0.1177 0.1459 0.5394
Al: 0.4216 0.8823 0.0281
Al: 0.6065 0.5784 0.4606
Al: 0.8541 0.3935 0.9719
Ag: 0.2500 0.7500 0.5000
S: 0.5000 0.5000 0.0000
S: 0.7500 0.2500 0.5000

E_tot (eV per atom): -3.676
Theoretical density (g/cm³): 3.30

---

A geometry-optimized LiAl2AgS4 structure. Source: OQMD, functional PBE.

Unit cell a=6.5510 b=6.5510 c=6.5510 alpha=128.80 beta=128.80 gamma=75.34
Element x y z (fractional)
Li: 0.0000 0.0000 0.0000
Al: 0.2500 0.7500 0.5000
Al: 0.5000 0.5000 0.0000
Ag: 0.7500 0.2500 0.5000
S: 0.1655 0.1210 0.5269
S: 0.3614 0.8345 0.9555
S: 0.5941 0.6386 0.4731
S: 0.8790 0.4059 0.0445

E_tot (eV per atom): -4.617
Theoretical density (g/cm³): 2.97

---

A geometry-optimized Li2ScAl2ZnAg2 structure. Source: OQMD, functional PBE.

Unit cell a=4.4869 b=4.4869 c=6.5568 alpha=90.00 beta=90.00 gamma=90.00
Element x y z (fractional)
Li: 0.0000 0.5000 0.2228
Li: 0.5000 0.0000 0.7772
Sc: 0.0000 0.0000 0.5000
Al: 0.0000 0.0000 0.0000
Al: 0.5000 0.5000 0.5000
Zn: 0.5000 0.5000 0.0000
Ag: 0.0000 0.5000 0.7583
Ag: 0.5000 0.0000 0.2417

E_tot (eV per atom): -3.289
Size of the total moment (Bohr magnetons per cell): 0.0
Theoretical density (g/cm³): 4.96

---

A geometry-optimized LiAl4AgSe2 structure. Source: OQMD, functional PBE.

Unit cell a=6.7204 b=6.7204 c=6.7204 alpha=122.93 beta=122.93 gamma=84.99
Element x y z (fractional)
Li: 0.0000 0.0000 0.0000
Al: 0.1307 0.1261 0.5131
Al: 0.3824 0.8693 0.9954
Al: 0.6130 0.6176 0.4869
Al: 0.8739 0.3870 0.0046
Ag: 0.2500 0.7500 0.5000
Se: 0.5000 0.5000 0.0000
Se: 0.7500 0.2500 0.5000

E_tot (eV per atom): -3.251
Theoretical density (g/cm³): 3.09

---

A geometry-optimized LiAlSiAg structure. Source: OQMD, functional PBE.

Unit cell a=4.4969 b=4.4969 c=4.4969 alpha=60.00 beta=60.00 gamma=60.00
Element x y z (fractional)
Li: 0.0000 0.0000 0.0000
Al: 0.2500 0.2500 0.2500
Si: 0.7500 0.7500 0.7500
Ag: 0.5000 0.5000 0.5000

Energy above the most stable polymorph in this dataset (meV/atom): 94
Theoretical density (g/cm³): 4.39

---

A geometry-optimized LiAlSiAg structure. Source: OQMD, functional PBE.

Unit cell a=4.4624 b=4.4624 c=4.4624 alpha=60.00 beta=60.00 gamma=60.00
Element x y z (fractional)
Li: 0.0000 0.0000 0.0000
Al: 0.5000 0.5000 0.5000
Si: 0.7500 0.7500 0.7500
Ag: 0.2500 0.2500 0.2500

Energy above the most stable polymorph in this dataset (meV/atom): 0
Theoretical density (g/cm³): 4.49

---

A geometry-optimized Li4AlTlAg2 structure. Source: OQMD, functional PBE.

Unit cell a=4.5255 b=4.5255 c=6.5095 alpha=90.00 beta=90.00 gamma=90.00
Element x y z (fractional)
Li: 0.0000 0.0000 0.0000
Li: 0.0000 0.5000 0.2396
Li: 0.5000 0.0000 0.7604
Li: 0.5000 0.5000 0.5000
Al: 0.5000 0.5000 0.0000
Tl: 0.0000 0.0000 0.5000
Ag: 0.0000 0.5000 0.7807
Ag: 0.5000 0.0000 0.2193

E_tot (eV per atom): -2.658
Theoretical density (g/cm³): 5.91

---

A geometry-optimized Li2AlZnAg4 structure. Source: OQMD, functional PBE.

Unit cell a=4.4825 b=4.4825 c=6.3016 alpha=90.00 beta=90.00 gamma=90.00
Element x y z (fractional)
Li: 0.0000 0.0000 0.0000
Li: 0.5000 0.5000 0.5000
Al: 0.0000 0.0000 0.5000
Zn: 0.5000 0.5000 0.0000
Ag: 0.0000 0.5000 0.2561
Ag: 0.0000 0.5000 0.7512
Ag: 0.5000 0.0000 0.2488
Ag: 0.5000 0.0000 0.7439

E_tot (eV per atom): -2.739
Theoretical density (g/cm³): 7.05

---

A geometry-optimized Li4AlZn2Ag structure. Source: OQMD, functional PBE.

Unit cell a=4.3691 b=4.3691 c=6.1874 alpha=90.00 beta=90.00 gamma=90.00
Element x y z (fractional)
Li: 0.0000 0.0000 0.0000
Li: 0.0000 0.5000 0.2460
Li: 0.5000 0.0000 0.7540
Li: 0.5000 0.5000 0.5000
Al: 0.0000 0.0000 0.5000
Zn: 0.0000 0.5000 0.7397
Zn: 0.5000 0.0000 0.2603
Ag: 0.5000 0.5000 0.0000

E_tot (eV per atom): -2.311
Theoretical density (g/cm³): 4.13